No. 1
YEr2Bi (PBE-GGA, optimized geometry); VASP energy = -19.33 eV per formula unit; DFT formation energy = 0.03 eV/atom; ΔE to the lowest computed polymorph = 0.422 eV/atom; space group = No. 166
1.0
3.5392 0.0000 0.0000
-1.7696 3.0650 0.0000
0.0000 0.0000 35.8675
Y Er Bi
3 6 3
direct
0.0000 0.0000 0.0000
0.3333 0.6667 0.6667
0.6667 0.3333 0.3333
0.0000 0.0000 0.4124
0.0000 0.0000 0.5876
0.3333 0.6667 0.0791
0.3333 0.6667 0.2542
0.6667 0.3333 0.7458
0.6667 0.3333 0.9209
0.0000 0.0000 0.5000
0.3333 0.6667 0.1667
0.6667 0.3333 0.8333

=====

No. 2
Y5Er3Bi8 (PBE-GGA, optimized geometry); VASP energy = -90.90 eV per formula unit; DFT formation energy = -0.86 eV/atom; space group = No. 166
1.0
4.4702 2.5809 7.2996
-4.4702 2.5809 7.2996
0.0000 -5.1618 7.2996
Y Er Bi
5 3 8
direct
0.0000 0.0000 0.0000
0.0000 0.5000 0.5000
0.5000 0.0000 0.5000
0.5000 0.5000 0.0000
0.5000 0.5000 0.5000
0.0000 0.0000 0.5000
0.0000 0.5000 0.0000
0.5000 0.0000 0.0000
0.2481 0.7500 0.7500
0.2491 0.2491 0.2491
0.2500 0.2500 0.7519
0.2500 0.7519 0.2500
0.7500 0.2481 0.7500
0.7500 0.7500 0.2481
0.7509 0.7509 0.7509
0.7519 0.2500 0.2500

=====

No. 3
Er8Zn2Bi (PBE-GGA, optimized geometry); VASP energy = -44.56 eV per formula unit; DFT formation energy = -0.15 eV/atom; space group = No. 12
1.0
4.3695 -6.7843 0.0000
4.3695 6.7843 0.0000
-1.5891 0.0000 5.2388
Er Zn Bi
8 2 1
direct
0.0842 0.3318 0.6043
0.2401 0.7599 0.0000
0.3318 0.0842 0.6043
0.4011 0.4011 0.2022
0.5989 0.5989 0.7978
0.6682 0.9158 0.3957
0.7599 0.2401 0.0000
0.9158 0.6682 0.3957
0.3059 0.6941 0.5000
0.6941 0.3059 0.5000
0.0000 0.0000 0.0000

=====

No. 4
Er12Zn6Bi (PBE-GGA, optimized geometry); VASP energy = -70.37 eV per formula unit; DFT formation energy = -0.22 eV/atom; space group = No. 204
1.0
-4.9762 4.9762 4.9762
4.9762 -4.9762 4.9762
4.9762 4.9762 -4.9762
Er Zn Bi
12 6 1
direct
0.1009 0.2935 0.8074
0.1926 0.4861 0.2935
0.1926 0.8991 0.7065
0.2935 0.1926 0.4861
0.2935 0.8074 0.1009
0.4861 0.2935 0.1926
0.5139 0.7065 0.8074
0.7065 0.1926 0.8991
0.7065 0.8074 0.5139
0.8074 0.1009 0.2935
0.8074 0.5139 0.7065
0.8991 0.7065 0.1926
0.1231 0.5000 0.6231
0.3769 0.8769 0.5000
0.5000 0.3769 0.8769
0.5000 0.6231 0.1231
0.6231 0.1231 0.5000
0.8769 0.5000 0.3769
0.0000 0.0000 0.0000

=====

No. 5
Er3ZnBi2 (PBE-GGA, optimized geometry); VASP energy = -24.39 eV per formula unit; DFT formation energy = -0.28 eV/atom; space group = No. 65
1.0
6.0826 0.0000 0.0000
0.0000 15.1080 0.0000
0.0000 0.0000 4.1261
Er Zn Bi
6 2 4
direct
0.0000 0.0000 0.0000
0.0000 0.3618 0.5000
0.0000 0.6382 0.5000
0.5000 0.1382 0.5000
0.5000 0.5000 0.0000
0.5000 0.8618 0.5000
0.0000 0.5000 0.0000
0.5000 0.0000 0.0000
0.0000 0.1573 0.5000
0.0000 0.8427 0.5000
0.5000 0.3427 0.5000
0.5000 0.6573 0.5000

=====

No. 6
Er6Zn2Bi (PBE-GGA, optimized geometry); VASP energy = -36.42 eV per formula unit; DFT formation energy = -0.29 eV/atom; space group = No. 71
1.0
-4.6344 4.7876 5.4981
4.6344 -4.7876 5.4981
4.6344 4.7876 -5.4981
Er Zn Bi
12 4 2
direct
0.0246 0.2282 0.7964
0.1932 0.2911 0.4843
0.1932 0.7089 0.9020
0.3170 0.0113 0.6943
0.3170 0.6227 0.3057
0.4318 0.2282 0.2036
0.5682 0.7718 0.7964
0.6830 0.3773 0.6943
0.6830 0.9887 0.3057
0.8068 0.2911 0.0980
0.8068 0.7089 0.5157
0.9754 0.7718 0.2036
0.1161 0.6161 0.5000
0.3571 0.0000 0.3571
0.6429 0.0000 0.6429
0.8839 0.3839 0.5000
0.0000 0.0000 0.0000
0.5000 0.5000 0.0000

=====

No. 7
Er7Zn2Bi2 (PBE-GGA, optimized geometry); VASP energy = -43.52 eV per formula unit; DFT formation energy = -0.12 eV/atom; space group = No. 65
1.0
4.5823 -5.3860 0.0000
4.5823 5.3860 0.0000
0.0000 0.0000 6.7904
Er Zn Bi
7 2 2
direct
0.0000 0.0000 0.0000
0.0000 0.5000 0.2466
0.0000 0.5000 0.7534
0.5000 0.0000 0.2466
0.5000 0.0000 0.7534
0.5000 0.5000 0.2382
0.5000 0.5000 0.7618
0.2752 0.7248 0.0000
0.7248 0.2752 0.0000
0.1975 0.1975 0.5000
0.8025 0.8025 0.5000

=====

No. 8
ErZrBi2 (PBE-GGA, optimized geometry); VASP energy = -22.82 eV per formula unit; DFT formation energy = -0.49 eV/atom; ΔE to the lowest computed polymorph = 0.000 eV/atom; space group = No. 166
1.0
4.3068 0.0000 0.0000
-2.1534 3.7298 0.0000
0.0000 0.0000 21.5680
Er Zr Bi
3 3 6
direct
0.0000 0.0000 0.0000
0.3333 0.6667 0.6667
0.6667 0.3333 0.3333
0.0000 0.0000 0.5000
0.3333 0.6667 0.1667
0.6667 0.3333 0.8333
0.0000 0.0000 0.2469
0.0000 0.0000 0.7531
0.3333 0.6667 0.4198
0.3333 0.6667 0.9135
0.6667 0.3333 0.0865
0.6667 0.3333 0.5802

=====

No. 9
Er4ZrBi5 (PBE-GGA, optimized geometry); VASP energy = -53.00 eV per formula unit; DFT formation energy = -0.68 eV/atom; space group = No. 71
1.0
-2.1956 3.1114 11.0323
2.1956 -3.1114 11.0323
2.1956 3.1114 -11.0323
Er Zr Bi
4 1 5
direct
0.1000 0.1000 0.0000
0.3025 0.3025 0.0000
0.6975 0.6975 0.0000
0.9000 0.9000 0.0000
0.5000 0.5000 0.0000
0.0000 0.5000 0.5000
0.2007 0.7007 0.5000
0.4039 0.9039 0.5000
0.5961 0.0961 0.5000
0.7993 0.2993 0.5000

=====

No. 10
ErZrBi2 (PBE-GGA, optimized geometry); VASP energy = -22.75 eV per formula unit; DFT formation energy = -0.47 eV/atom; ΔE to the lowest computed polymorph = 0.019 eV/atom; space group = No. 160
1.0
4.2416 0.0000 0.0000
-2.1208 3.6733 0.0000
0.0000 0.0000 22.5013
Er Zr Bi
3 3 6
direct
0.0000 0.0000 0.0000
0.3333 0.6667 0.6667
0.6667 0.3333 0.3333
0.0000 0.0000 0.8295
0.3333 0.6667 0.4962
0.6667 0.3333 0.1629
0.0000 0.0000 0.4164
0.0000 0.0000 0.5783
0.3333 0.6667 0.0831
0.3333 0.6667 0.2449
0.6667 0.3333 0.7497
0.6667 0.3333 0.9116

=====

No. 11
ErZr2Bi (PBE-GGA, optimized geometry); VASP energy = -25.32 eV per formula unit; DFT formation energy = 0.05 eV/atom; space group = No. 225
1.0
7.3211 0.0000 0.0000
0.0000 7.3211 0.0000
0.0000 0.0000 7.3211
Er Zr Bi
4 8 4
direct
0.0000 0.0000 0.0000
0.0000 0.5000 0.5000
0.5000 0.0000 0.5000
0.5000 0.5000 0.0000
0.2500 0.2500 0.2500
0.2500 0.2500 0.7500
0.2500 0.7500 0.2500
0.2500 0.7500 0.7500
0.7500 0.2500 0.2500
0.7500 0.2500 0.7500
0.7500 0.7500 0.2500
0.7500 0.7500 0.7500
0.0000 0.0000 0.5000
0.0000 0.5000 0.0000
0.5000 0.0000 0.0000
0.5000 0.5000 0.5000

=====

No. 12
ErZrBi2 (PBE-GGA, optimized geometry); VASP energy = -22.32 eV per formula unit; DFT formation energy = -0.36 eV/atom; ΔE to the lowest computed polymorph = 0.127 eV/atom; space group = No. 123
1.0
3.6859 0.0000 0.0000
0.0000 3.6859 0.0000
0.0000 0.0000 7.8246
Er Zr Bi
1 1 2
direct
0.0000 0.0000 0.0000
0.0000 0.0000 0.5000
0.5000 0.5000 0.2670
0.5000 0.5000 0.7330

=====

No. 13
EuBi3 (PBE-GGA, optimized geometry); VASP energy = -23.79 eV per formula unit; DFT formation energy = -0.47 eV/atom; ΔE to the lowest computed polymorph = 0.000 eV/atom; space group = No. 221
1.0
5.0194 0.0000 0.0000
0.0000 5.0194 0.0000
0.0000 0.0000 5.0194
Eu Bi
1 3
direct
0.0000 0.0000 0.0000
0.0000 0.5000 0.5000
0.5000 0.0000 0.5000
0.5000 0.5000 0.0000

=====

No. 14
Eu6Bi (PBE-GGA, optimized geometry); VASP energy = -57.74 eV per formula unit; DFT formation energy = 1.11 eV/atom; space group = No. 229
1.0
8.8555 0.0000 0.0000
0.0000 8.8555 0.0000
0.0000 0.0000 8.8555
Eu Bi
12 2
direct
0.0000 0.2500 0.5000
0.0000 0.5000 0.2500
0.0000 0.5000 0.7500
0.0000 0.7500 0.5000
0.2500 0.0000 0.5000
0.2500 0.5000 0.0000
0.5000 0.0000 0.2500
0.5000 0.0000 0.7500
0.5000 0.2500 0.0000
0.5000 0.7500 0.0000
0.7500 0.0000 0.5000
0.7500 0.5000 0.0000
0.0000 0.0000 0.0000
0.5000 0.5000 0.5000

=====

No. 15
EuBi2 (PBE-GGA, optimized geometry); VASP energy = -19.19 eV per formula unit; DFT formation energy = -0.38 eV/atom; space group = No. 227
1.0
0.0000 4.7111 4.7111
4.7111 0.0000 4.7111
4.7111 4.7111 0.0000
Eu Bi
2 4
direct
0.1250 0.1250 0.1250
0.8750 0.8750 0.8750
0.0000 0.5000 0.5000
0.5000 0.0000 0.5000
0.5000 0.5000 0.0000
0.5000 0.5000 0.5000

=====

No. 16
EuBi5 (PBE-GGA, optimized geometry); VASP energy = -31.24 eV per formula unit; DFT formation energy = -0.26 eV/atom; space group = No. 65
1.0
4.8624 0.0000 0.0000
0.0000 16.5734 0.0000
0.0000 0.0000 4.7381
Eu Bi
2 10
direct
0.0000 0.0000 0.0000
0.5000 0.5000 0.0000
0.0000 0.1708 0.5000
0.0000 0.3463 0.0000
0.0000 0.5000 0.5000
0.0000 0.6537 0.0000
0.0000 0.8292 0.5000
0.5000 0.0000 0.5000
0.5000 0.1537 0.0000
0.5000 0.3292 0.5000
0.5000 0.6708 0.5000
0.5000 0.8463 0.0000

=====

No. 17
EuBi3 (PBE-GGA, optimized geometry); VASP energy = -23.60 eV per formula unit; DFT formation energy = -0.42 eV/atom; ΔE to the lowest computed polymorph = 0.048 eV/atom; space group = No. 139
1.0
4.7643 0.0000 0.0000
0.0000 4.7643 0.0000
0.0000 0.0000 11.1839
Eu Bi
2 6
direct
0.0000 0.0000 0.0000
0.5000 0.5000 0.5000
0.0000 0.0000 0.5000
0.0000 0.5000 0.2500
0.0000 0.5000 0.7500
0.5000 0.0000 0.2500
0.5000 0.0000 0.7500
0.5000 0.5000 0.0000

=====

No. 18
EuBi3 (PBE-GGA, optimized geometry); VASP energy = -23.04 eV per formula unit; DFT formation energy = -0.28 eV/atom; ΔE to the lowest computed polymorph = 0.187 eV/atom; space group = No. 225
1.0
8.0605 0.0000 0.0000
0.0000 8.0605 0.0000
0.0000 0.0000 8.0605
Eu Bi
4 12
direct
0.0000 0.0000 0.0000
0.0000 0.5000 0.5000
0.5000 0.0000 0.5000
0.5000 0.5000 0.0000
0.0000 0.0000 0.5000
0.0000 0.5000 0.0000
0.2500 0.2500 0.2500
0.2500 0.2500 0.7500
0.2500 0.7500 0.2500
0.2500 0.7500 0.7500
0.5000 0.0000 0.0000
0.5000 0.5000 0.5000
0.7500 0.2500 0.2500
0.7500 0.2500 0.7500
0.7500 0.7500 0.2500
0.7500 0.7500 0.7500

=====

No. 19
EuBi2 (PBE-GGA, optimized geometry); VASP energy = -19.36 eV per formula unit; DFT formation energy = -0.44 eV/atom; space group = No. 139
1.0
4.3488 0.0000 0.0000
0.0000 4.3488 0.0000
0.0000 0.0000 10.4708
Eu Bi
2 4
direct
0.0000 0.0000 0.0000
0.5000 0.5000 0.5000
0.0000 0.0000 0.3494
0.0000 0.0000 0.6506
0.5000 0.5000 0.1506
0.5000 0.5000 0.8494

=====

No. 20
EuBi2 (PBE-GGA, optimized geometry); VASP energy = -19.91 eV per formula unit; DFT formation energy = -0.62 eV/atom; space group = No. 11
1.0
4.8341 0.0000 0.0000
0.0000 4.6353 0.0000
-2.4146 0.0000 8.6096
Eu Bi
2 4
direct
0.0991 0.2500 0.1989
0.9009 0.7500 0.8011
0.2539 0.7500 0.5074
0.4350 0.2500 0.8693
0.5650 0.7500 0.1307
0.7461 0.2500 0.4926